Density functional theory data (PBE-GGA) for crystalline BaHgSe2 at its relaxed geometry.

The structure in POSCAR format:
```
BaHgSe2
1.0
-3.967 3.967 4.244
3.967 -3.967 4.244
3.967 3.967 -4.244
Ba Hg Se
2 2 4
direct
0.000 0.500 0.500
0.500 0.000 0.500
0.248 0.248 0.000
0.752 0.752 0.000
0.027 0.027 0.557
0.470 0.470 0.443
0.530 0.973 0.000
0.973 0.530 0.000
```

Output
The crystal system is tetragonal. As for the space group: I-42m. Its final energy is -3.4124 eV/atom. As for the formation energy without anion corrections: -1114 meV/atom.